No. 1
# SnAu3O PBE optimized geometry
# **Polymorph energy (0 for the lowest one)**: 0.0 kJ per mole of atoms
# **Volume**: 97 Å³ per cell
data_SnAu3O
_symmetry_space_group_name_H-M 'P m -3 m'
_symmetry_Int_Tables_number 221
_symmetry_space_group_name_Hall '-P 4 2 3'
_cell_length_a 4.5893
_cell_length_b 4.5893
_cell_length_c 4.5893
_cell_angle_alpha 90.00
_cell_angle_beta 90.00
_cell_angle_gamma 90.00
loop_
_atom_site_label
_atom_site_fract_x
_atom_site_fract_y
_atom_site_fract_z
_atom_site_occupancy
Sn1 0.0000 0.0000 0.0000 1
Au1 0.0000 0.5000 0.5000 1
O1 0.5000 0.5000 0.5000 1

=====

No. 2
# AcTb2SmP4 PBE optimized geometry
# **E_form**: -1524 meV/atom
# **Volume**: 203 Å³ per cell
data_AcTb2SmP4
_symmetry_space_group_name_H-M 'P 1 2/m 1'
_symmetry_Int_Tables_number 10
_cell_length_a 7.2020
_cell_length_b 4.1570
_cell_length_c 7.2034
_cell_angle_alpha 90.00
_cell_angle_beta 109.38
_cell_angle_gamma 90.00
loop_
_symmetry_equiv_pos_as_xyz
'x,y,z'
'-x,-y,-z'
'-x,y,-z'
'x,-y,z'
loop_
_atom_site_label
_atom_site_fract_x
_atom_site_fract_y
_atom_site_fract_z
_atom_site_occupancy
Ac1 0.0000 0.0000 0.0000 1
Tb1 0.5000 0.0000 0.5000 1
Tb2 0.5000 0.5000 0.0000 1
Sm1 0.0000 0.5000 0.5000 1
P1 0.2604 0.0000 0.7460 1
P2 0.2667 0.5000 0.2635 1

=====

No. 3
# NdSc2Hg6 PBE optimized geometry
# **E_form**: -113 meV/atom
# **Volume**: 493 Å³ per cell
data_NdSc2Hg6
_symmetry_space_group_name_H-M 'I 4/m m m'
_symmetry_Int_Tables_number 139
_symmetry_space_group_name_Hall '-I 4 2'
_cell_length_a 4.5733
_cell_length_b 4.5733
_cell_length_c 23.5939
_cell_angle_alpha 90.00
_cell_angle_beta 90.00
_cell_angle_gamma 90.00
loop_
_atom_site_label
_atom_site_fract_x
_atom_site_fract_y
_atom_site_fract_z
_atom_site_occupancy
Nd1 0.0000 0.0000 0.0000 1
Sc1 0.0000 0.0000 0.3284 1
Hg1 0.0000 0.5000 0.0946 1
Hg2 0.0000 0.5000 0.2500 1

=====

No. 4
# MnVCl3 PBE optimized geometry
# **Polymorph energy (0 for the lowest one)**: 0.0 kJ per mole of atoms
# **Volume**: 119 Å³ per cell
data_MnVCl3
_symmetry_space_group_name_H-M 'P m -3 m'
_symmetry_Int_Tables_number 221
_symmetry_space_group_name_Hall '-P 4 2 3'
_cell_length_a 4.9185
_cell_length_b 4.9185
_cell_length_c 4.9185
_cell_angle_alpha 90.00
_cell_angle_beta 90.00
_cell_angle_gamma 90.00
loop_
_atom_site_label
_atom_site_fract_x
_atom_site_fract_y
_atom_site_fract_z
_atom_site_occupancy
Mn1 0.0000 0.0000 0.0000 1
V1 0.5000 0.5000 0.5000 1
Cl1 0.0000 0.5000 0.5000 1

=====

No. 5
# TbY2Os PBE optimized geometry
# **E_form**: -237 meV/atom
# **Polymorph energy (0 for the lowest one)**: 0.0 kJ per mole of atoms
# **Volume**: 431 Å³ per cell
data_TbY2Os
_symmetry_space_group_name_H-M 'P n m a'
_symmetry_Int_Tables_number 62
_cell_length_a 7.4052
_cell_length_b 9.1187
_cell_length_c 6.3828
_cell_angle_alpha 90.00
_cell_angle_beta 90.00
_cell_angle_gamma 90.00
loop_
_symmetry_equiv_pos_as_xyz
'x,y,z'
'-x,-y,-z'
'-x+1/2,-y,z+1/2'
'x+1/2,y,-z+1/2'
'x+1/2,-y+1/2,-z+1/2'
'-x+1/2,y+1/2,z+1/2'
'-x,y+1/2,-z'
'x,-y+1/2,z'
loop_
_atom_site_label
_atom_site_fract_x
_atom_site_fract_y
_atom_site_fract_z
_atom_site_occupancy
Tb1 0.0413 0.2500 0.1308 1
Y1 0.1742 0.0635 0.6685 1
Os1 0.1169 0.7500 0.4639 1

=====

No. 6
# LaTiCu PBE optimized geometry
# **E_form**: 141 meV/atom
# **Polymorph energy (0 for the lowest one)**: 12.3 kJ per mole of atoms
# **Volume**: 258 Å³ per cell
data_LaTiCu
_symmetry_space_group_name_H-M 'C 1 m 1'
_symmetry_Int_Tables_number 8
_cell_length_a 10.7276
_cell_length_b 4.4222
_cell_length_c 6.4323
_cell_angle_alpha 90.00
_cell_angle_beta 122.44
_cell_angle_gamma 90.00
loop_
_symmetry_equiv_pos_as_xyz
'x,y,z'
'x,-y,z'
'x+1/2,y+1/2,z'
'x+1/2,-y+1/2,z'
loop_
_atom_site_label
_atom_site_fract_x
_atom_site_fract_y
_atom_site_fract_z
_atom_site_occupancy
La1 0.0000 0.0000 0.0000 1
La2 0.1459 0.5000 0.8249 1
Ti1 0.2259 0.5000 0.3993 1
Ti2 0.3572 0.0000 0.2842 1
Cu1 0.0019 0.0000 0.4478 1
Cu2 0.2852 0.0000 0.6427 1